Compound: Ac3Cu3Pt
Source: the Alexandria database
Functional: PBE-GGA
Structure: relaxed

## Properties
* E_form: -0.43 eV/atom
* V: 370.2 Å³ per cell
* mass density: 9.6 g cm⁻³

```
data_Ac3Cu3Pt
_chemical_formula_sum 'Ac6 Cu6 Pt2'
_symmetry_space_group_name_H-M 'P 1'
_symmetry_Int_Tables_number 1
_cell_length_a 4.184
_cell_length_b 4.476
_cell_length_c 19.768
_cell_angle_alpha 90.00
_cell_angle_beta 90.00
_cell_angle_gamma 90.00
loop_
_symmetry_equiv_pos_as_xyz
'x,y,z'
loop_
_atom_site_label
_atom_site_type_symbol
_atom_site_fract_x
_atom_site_fract_y
_atom_site_fract_z
Ac1 Ac 0.000 0.000 0.000
Ac2 Ac 0.000 0.000 0.359
Ac3 Ac 0.000 0.500 0.184
Ac4 Ac 0.500 0.000 0.684
Ac5 Ac 0.500 0.500 0.500
Ac6 Ac 0.500 0.500 0.859
Cu1 Cu 0.000 0.000 0.549
Cu2 Cu 0.000 0.000 0.821
Cu3 Cu 0.000 0.500 0.614
Cu4 Cu 0.500 0.000 0.114
Cu5 Cu 0.500 0.500 0.049
Cu6 Cu 0.500 0.500 0.321
Pt1 Pt 0.000 0.500 0.745
Pt2 Pt 0.500 0.000 0.245
```